# 1
An optimized crystal structure of Np2SCl. Source: Alexandria, functional PBE.

Lattice parameters (Å, degrees): 6.0087 6.0087 6.0087 46.25 46.25 46.25
Last column: nearest neighbours and their distance in Å.
Sites, in units of the cell vectors:
Np (0.1704, 0.1704, 0.1704)  3 S 2.73, 3 Np 2.73, 1 Cl 2.74
Np (0.8296, 0.8296, 0.8296)  3 S 2.73, 3 Np 2.73, 1 Cl 2.74
S (0.5000, 0.5000, 0.5000)  6 Np 2.73
Cl (0.0000, 0.0000, 0.0000)  2 Np 2.74

Computed properties:
raw formation energy	-0.46	eV/atom
total DFT energy (no corrections)	-8.42	eV per atom
space group	R-3m, No. 166
density of states at the Fermi level	1.541	states/eV per atom

# 2
An optimized crystal structure of Er2Zn3CdCu12. Source: Alexandria, functional PBE.

Lattice parameters (Å, degrees): 9.4753 9.4753 9.4753 39.14 39.14 39.14
Last column: nearest neighbours and their distance in Å.
Sites, in units of the cell vectors:
Er (0.1397, 0.1397, 0.1397)  6 Cu 2.86-2.87
Er (0.8603, 0.8603, 0.8603)  6 Cu 2.86-2.87
Zn (0.0000, 0.5000, 0.5000)  6 Cu 2.39-2.65
Zn (0.5000, 0.0000, 0.5000)  6 Cu 2.39-2.65
Zn (0.5000, 0.5000, 0.0000)  6 Cu 2.39-2.65
Cd (0.5000, 0.5000, 0.5000)  6 Cu 2.77
Cu (0.0406, 0.6303, 0.6303)  4 Cu 2.49-2.60, 1 Zn 2.65, 1 Cd 2.77
Cu (0.0819, 0.0819, 0.7039)  2 Zn 2.39, 4 Cu 2.40-2.49
Cu (0.0819, 0.7039, 0.0819)  2 Zn 2.39, 4 Cu 2.40-2.49
Cu (0.2961, 0.9181, 0.9181)  2 Zn 2.39, 4 Cu 2.40-2.49
Cu (0.3697, 0.3697, 0.9594)  4 Cu 2.49-2.60, 1 Zn 2.65, 1 Cd 2.77
Cu (0.3697, 0.9594, 0.3697)  4 Cu 2.49-2.60, 1 Zn 2.65, 1 Cd 2.77
Cu (0.6303, 0.0406, 0.6303)  4 Cu 2.49-2.60, 1 Zn 2.65, 1 Cd 2.77
Cu (0.6303, 0.6303, 0.0406)  4 Cu 2.49-2.60, 1 Zn 2.65, 1 Cd 2.77
Cu (0.7039, 0.0819, 0.0819)  2 Zn 2.39, 4 Cu 2.40-2.49
Cu (0.9181, 0.2961, 0.9181)  2 Zn 2.39, 4 Cu 2.40-2.49
Cu (0.9181, 0.9181, 0.2961)  2 Zn 2.39, 4 Cu 2.40-2.49
Cu (0.9594, 0.3697, 0.3697)  4 Cu 2.49-2.60, 1 Zn 2.65, 1 Cd 2.77

Computed properties:
total DFT energy (no corrections)	-3.40	eV per atom
space group	R-3m, No. 166
formation enthalpy at 0 K	1.8	eV/f.u.
density of states at the Fermi level	0.269	states/eV per atom

# 3
An optimized crystal structure of Tl2FeSn. Source: Alexandria, functional PBE.

Lattice parameters (Å, degrees): 7.5644 7.5644 7.5644 95.99 95.99 142.32
Last column: nearest neighbours and their distance in Å.
Sites, in units of the cell vectors:
Tl (0.0000, 0.0000, 0.0000)  2 Fe 2.60
Tl (0.0000, 0.0000, 0.5000)  2 Fe 2.60
Tl (0.0000, 0.5000, 0.0000)  2 Fe 2.60
Tl (0.5000, 0.0000, 0.5000)  2 Fe 2.60
Fe (0.1250, 0.8750, 0.2500)  2 Sn 2.44, 4 Tl 2.60
Fe (0.8750, 0.1250, 0.7500)  2 Sn 2.44, 4 Tl 2.60
Sn (0.3750, 0.6250, 0.7500)  2 Fe 2.44
Sn (0.6250, 0.3750, 0.2500)  2 Fe 2.44

Computed properties:
total DFT energy (no corrections)	-3.99	eV per atom
space group	I4_1/amd, No. 141
formation enthalpy at 0 K	1.3	eV/f.u.
density of states at the Fermi level	0.000	states/eV per atom

Question: Among the records above, which one has the highest total DFT energy (no corrections)?
Answer: Er2Zn3CdCu12